Record 1
# Li2LaGa2

A PBEsol-optimized structure of Li2LaGa2 (SCAN, Alexandria).

abc: 4.6230 4.6230 9.2137
angles: 90.00 90.00 90.00
Closest atoms and distances in Å follow each position.
Space group I4/mmm (No. 139)
Unique sites:
Li  0.0000  0.5000  0.2500 (multiplicity 4)  4 Ga 2.57
La  0.0000  0.0000  0.0000 (multiplicity 2)  8 Li 3.26, 10 Ga 3.42-3.48
Ga  0.0000  0.0000  0.3709 (multiplicity 4)  1 Ga 2.38, 4 Li 2.57

Output
Total moment: 0.01 Bohr magnetons per cell
Energy: -82.73 eV/f.u.
ΔE_f: -9.938 kcal/mol of atoms
Volume: 19.69 Å³ per atom

=====

Record 2
# Li2LaGaRe

A PBEsol-optimized structure of Li2LaGaRe (SCAN, Alexandria).

abc: 4.4603 4.4603 5.7360
angles: 90.00 90.00 90.00
Closest atoms and distances in Å follow each position.
Space group P4/mmm (No. 123)
Unique sites:
Li  0.0000  0.5000  0.0000 (multiplicity 2)  2 Ga 2.23
La  0.0000  0.0000  0.5000 (multiplicity 1)  2 Ga 2.87, 4 Re 3.15
Ga  0.0000  0.0000  0.0000 (multiplicity 1)  4 Li 2.23
Re  0.5000  0.5000  0.5000 (multiplicity 1)  4 La 3.15

Output
Total moment: 1.89 Bohr magnetons per cell
Energy: -130.55 eV/f.u.
ΔE_f: 22.024 kcal/mol of atoms
Volume: 22.82 Å³ per atom